#P
Here is an optimized crystal structure of TaTlRu3 from Alexandria via LeMat-Bulk. Energies are from GGA-PBE.

Unit cell a=4.797 b=4.797 c=4.797 alpha=90.00 beta=90.00 gamma=90.00
Element x y z (fractional)
Ru1 0.000 0.500 0.000
Ru2 0.000 0.000 0.500
Ru3 0.500 0.000 0.000
Tl1 0.000 0.000 0.000
Ta1 0.500 0.500 0.500

crystal system	cubic
symmetry	Pm-3m (221)
total magnetic moment	1.79	μB/f.u.

---

#Q
Here is an optimized crystal structure of TaTlRu3 from Alexandria via LeMat-Bulk. Energies are from GGA-PBE.

Unit cell a=4.766 b=4.766 c=4.766 alpha=90.00 beta=90.00 gamma=90.00
Element x y z (fractional)
Ru1 0.000 0.500 0.000
Ru2 0.000 0.000 0.500
Ru3 0.500 0.000 0.000
Tl1 0.500 0.500 0.500
Ta1 0.000 0.000 0.000

crystal system	cubic
symmetry	Pm-3m (221)
total magnetic moment	2.02	μB/f.u.

---

It is #P that is the least stable of them.

---

#P
Here is an optimized crystal structure of TaV2Ru2 from Alexandria via LeMat-Bulk. Energies are from GGA-PBE.

Unit cell a=7.201 b=7.201 c=2.853 alpha=90.00 beta=90.00 gamma=90.00
Element x y z (fractional)
Ru1 0.154 0.654 0.500
Ru2 0.654 0.846 0.500
Ru3 0.846 0.346 0.500
Ru4 0.346 0.154 0.500
Ta1 0.000 0.000 0.000
Ta2 0.500 0.500 0.000
V1 0.353 0.853 0.000
V2 0.853 0.647 0.000
V3 0.647 0.147 0.000
V4 0.147 0.353 0.000

crystal system	tetragonal
symmetry	P4/mbm (127)
total magnetic moment	0.00	μB/f.u.

---

#Q
Here is an optimized crystal structure of TaV2Ru2 from Alexandria via LeMat-Bulk. Energies are from GGA-PBE.

Unit cell a=7.235 b=7.235 c=2.861 alpha=90.00 beta=90.00 gamma=90.00
Element x y z (fractional)
Ru1 0.361 0.861 0.000
Ru2 0.861 0.639 0.000
Ru3 0.639 0.139 0.000
Ru4 0.139 0.361 0.000
Ta1 0.000 0.000 0.000
Ta2 0.500 0.500 0.000
V1 0.160 0.660 0.500
V2 0.660 0.840 0.500
V3 0.840 0.340 0.500
V4 0.340 0.160 0.500

crystal system	tetragonal
symmetry	P4/mbm (127)
total magnetic moment	0.00	μB/f.u.

---

It is #Q that is the least stable of them.

---

#P
Here is an optimized crystal structure of Ta3VRu from Alexandria via LeMat-Bulk. Energies are from GGA-PBE.

Unit cell a=3.165 b=5.339 c=10.163 alpha=90.49 beta=90.00 gamma=107.24
Element x y z (fractional)
Ta1 0.250 0.501 0.749
Ta2 0.750 0.499 0.251
Ta3 0.356 0.712 0.048
Ta4 0.644 0.288 0.952
Ta5 0.143 0.286 0.454
Ta6 0.857 0.714 0.546
V1 0.550 0.100 0.653
V2 0.450 0.900 0.347
Ru1 0.950 0.899 0.848
Ru2 0.050 0.101 0.152

crystal system	monoclinic
symmetry	C2/m (12)
total magnetic moment	0.00	μB/f.u.

---

#Q
Here is an optimized crystal structure of Ta3VRu from Alexandria via LeMat-Bulk. Energies are from GGA-PBE.

Unit cell a=4.782 b=4.782 c=4.782 alpha=90.00 beta=90.00 gamma=90.00
Element x y z (fractional)
Ru1 0.000 0.000 0.000
Ta1 0.000 0.500 0.000
Ta2 0.000 0.000 0.500
Ta3 0.500 0.000 0.000
V1 0.500 0.500 0.500

crystal system	cubic
symmetry	Pm-3m (221)
total magnetic moment	3.34	μB/f.u.

---

It is #Q that is the least stable of them.

---

#P
Here is an optimized crystal structure of TaV2Ru4 from Alexandria via LeMat-Bulk. Energies are from GGA-PBE.

Unit cell a=4.659 b=4.659 c=6.894 alpha=70.25 beta=70.25 gamma=90.00
Element x y z (fractional)
Ru1 0.211 0.211 0.577
Ru2 0.789 0.789 0.423
Ru3 0.000 0.500 0.000
Ru4 0.500 0.000 0.000
V1 0.380 0.380 0.240
V2 0.620 0.620 0.760
Ta1 0.000 0.000 0.000

crystal system	tetragonal
symmetry	I4/mmm (139)
total magnetic moment	0.04	μB/f.u.

---

#Q
Here is an optimized crystal structure of TaV2Ru4 from Alexandria via LeMat-Bulk. Energies are from GGA-PBE.

Unit cell a=5.208 b=5.208 c=5.208 alpha=110.47 beta=108.97 gamma=108.97
Element x y z (fractional)
Ta1 0.000 0.000 0.000
V1 0.500 0.500 0.000
V2 0.500 0.000 0.500
Ru1 0.500 0.000 0.000
Ru2 0.500 0.500 0.500
Ru3 0.000 0.000 0.500
Ru4 0.000 0.500 0.000

crystal system	tetragonal
symmetry	I4/mmm (139)
total magnetic moment	0.00	μB/f.u.

---

It is #P that is the least stable of them.

---

#P
Here is an optimized crystal structure of Ta3RuW from Alexandria via LeMat-Bulk. Energies are from GGA-PBE.

Unit cell a=4.717 b=4.717 c=4.717 alpha=90.00 beta=90.00 gamma=90.00
Element x y z (fractional)
Ru1 0.000 0.000 0.000
W1 0.500 0.500 0.500
Ta1 0.000 0.500 0.000
Ta2 0.000 0.000 0.500
Ta3 0.500 0.000 0.000

crystal system	cubic
symmetry	Pm-3m (221)
total magnetic moment	0.00	μB/f.u.

---

#Q
Here is an optimized crystal structure of Ta3RuW from Alexandria via LeMat-Bulk. Energies are from GGA-PBE.

Unit cell a=4.788 b=4.788 c=4.788 alpha=90.00 beta=90.00 gamma=90.00
Element x y z (fractional)
Ru1 0.500 0.500 0.500
W1 0.000 0.000 0.000
Ta1 0.000 0.500 0.000
Ta2 0.000 0.000 0.500
Ta3 0.500 0.000 0.000

crystal system	cubic
symmetry	Pm-3m (221)
total magnetic moment	0.00	μB/f.u.

---

#R
Here is an optimized crystal structure of Ta3RuW from Alexandria via LeMat-Bulk. Energies are from GGA-PBE.

Unit cell a=4.543 b=4.548 c=8.457 alpha=90.00 beta=74.42 gamma=90.00
Element x y z (fractional)
Ta1 0.770 0.250 0.109
Ta2 0.378 0.250 0.893
Ta3 0.574 0.250 0.500
Ta4 0.271 0.750 0.107
Ta5 0.879 0.750 0.891
Ta6 0.074 0.750 0.500
Ru1 0.673 0.750 0.302
Ru2 0.975 0.250 0.698
W1 0.476 0.750 0.697
W2 0.173 0.250 0.303

crystal system	orthorhombic
symmetry	Cmcm (63)
total magnetic moment	0.00	μB/f.u.

---

It is #Q that is the least stable of them.

---

#P
Here is an optimized crystal structure of Ta4RuW from Alexandria via LeMat-Bulk. Energies are from GGA-PBE.

Unit cell a=4.405 b=5.452 c=5.452 alpha=88.92 beta=90.00 gamma=90.00
Element x y z (fractional)
Ta1 0.500 0.315 0.685
Ta2 0.000 0.821 0.821
Ta3 0.000 0.179 0.179
Ta4 0.500 0.685 0.315
Ru1 0.500 0.000 0.000
W1 0.000 0.500 0.500

crystal system	orthorhombic
symmetry	Cmmm (65)
total magnetic moment	0.00	μB/f.u.

---

#Q
Here is an optimized crystal structure of Ta4RuW from Alexandria via LeMat-Bulk. Energies are from GGA-PBE.

Unit cell a=5.333 b=5.333 c=5.333 alpha=60.00 beta=60.00 gamma=60.00
Element x y z (fractional)
Ta1 0.625 0.625 0.126
Ta2 0.625 0.126 0.625
Ta3 0.625 0.625 0.625
Ta4 0.126 0.625 0.625
Ru1 0.000 0.000 0.000
W1 0.250 0.250 0.250

crystal system	cubic
symmetry	F-43m (216)
total magnetic moment	0.00	μB/f.u.

---

It is #P that is the least stable of them.